The following is a DFT calculation (GGA-PBE) of an optimized crystal structure of SrSiAg2.

abc: 3.5028 3.5028 7.3072
angles: 90.00 90.00 90.00
With the nearest neighbours (Å) after each atom.
Fractional positions:
Sr: 0.0000 0.0000 0.0000  4 Si 3.35, 5 Ag 3.38-3.40, 4 Sr 3.50
Si: 0.5000 0.5000 0.6911  5 Ag 2.73-2.76
Ag: 0.0000 0.0000 0.5341  4 Si 2.73, 4 Ag 2.95
Ag: 0.5000 0.5000 0.3140  1 Si 2.76, 4 Ag 2.95

Properties
**Electronic total energy**: -12.69 eV/cell
**DOS(E_F)**: 0.473 states/eV/atom
**Space-group type**: No. 99